No. 1
An optimized crystal structure of MnCu, computed with PBE.

Lattice parameters (Å, degrees): 2.5702 4.1455 4.5145 90.00 90.00 90.00
Last column: nearest neighbours and their distance in Å.
Atoms (fractional coordinates):
Mn 0.2500 0.2500 0.0663  6 Mn 2.51-2.57, 6 Cu 2.58-2.64
Mn 0.7500 0.7500 0.9337  6 Mn 2.51-2.57, 6 Cu 2.58-2.64
Cu 0.2500 0.7500 0.4280  6 Cu 2.52-2.57, 6 Mn 2.58-2.64
Cu 0.7500 0.2500 0.5720  6 Cu 2.52-2.57, 6 Mn 2.58-2.64

Calculated values
SG: Pmmn (59)
Energy in eV/cell: -25.38

***

No. 2
An optimized crystal structure of Sr2TlAg2Pd5, computed with PBE.

Lattice parameters (Å, degrees): 10.0188 10.0188 4.1308 90.00 90.00 90.00
Last column: nearest neighbours and their distance in Å.
Atoms (fractional coordinates):
Sr 0.1746 0.3254 0.0000  3 Ag 2.86-3.03
Sr 0.3254 0.8254 0.0000  3 Ag 2.86-3.03
Sr 0.6746 0.1746 0.0000  3 Ag 2.86-3.03
Sr 0.8254 0.6746 0.0000  3 Ag 2.86-3.03
Tl 0.0000 0.0000 0.0000  8 Pd 2.95
Tl 0.5000 0.5000 0.0000  8 Pd 2.95
Ag 0.1236 0.6236 0.0000  6 Pd 2.71-2.78, 3 Sr 2.86-3.03
Ag 0.3764 0.1236 0.0000  6 Pd 2.71-2.78, 3 Sr 2.86-3.03
Ag 0.6236 0.8764 0.0000  6 Pd 2.71-2.78, 3 Sr 2.86-3.03
Ag 0.8764 0.3764 0.0000  6 Pd 2.71-2.78, 3 Sr 2.86-3.03
Pd 0.0000 0.5000 0.5000  4 Ag 2.71
Pd 0.0604 0.7987 0.5000  2 Ag 2.78, 2 Tl 2.95, 3 Pd 2.98-3.05
Pd 0.2013 0.0604 0.5000  2 Ag 2.78, 2 Tl 2.95, 3 Pd 2.98-3.05
Pd 0.2987 0.5604 0.5000  2 Ag 2.78, 2 Tl 2.95, 3 Pd 2.98-3.05
Pd 0.4396 0.2987 0.5000  2 Ag 2.78, 2 Tl 2.95, 3 Pd 2.98-3.05
Pd 0.5000 0.0000 0.5000  4 Ag 2.71
Pd 0.5604 0.7013 0.5000  2 Ag 2.78, 2 Tl 2.95, 3 Pd 2.98-3.05
Pd 0.7013 0.4396 0.5000  2 Ag 2.78, 2 Tl 2.95, 3 Pd 2.98-3.05
Pd 0.7987 0.9396 0.5000  2 Ag 2.78, 2 Tl 2.95, 3 Pd 2.98-3.05
Pd 0.9396 0.2013 0.5000  2 Ag 2.78, 2 Tl 2.95, 3 Pd 2.98-3.05

Calculated values
SG: P4/mbm (127)
Energy in eV/cell: -82.04

***

No. 3
An optimized crystal structure of RbNpAgI5, computed with PBE.

Lattice parameters (Å, degrees): 8.6009 8.6009 11.6300 103.64 103.64 106.12
Last column: nearest neighbours and their distance in Å.
Atoms (fractional coordinates):
Rb 0.1424 0.8576 0.7500  5 I 3.70-3.76
Rb 0.8576 0.1424 0.2500  5 I 3.70-3.76
Np 0.5000 0.5000 0.0000  6 I 3.12-3.13
Np 0.5000 0.5000 0.5000  6 I 3.12-3.13
Ag 0.1910 0.8090 0.2500  4 I 2.84-2.90
Ag 0.8090 0.1910 0.7500  4 I 2.84-2.90
I 0.1258 0.2607 0.9438  1 Ag 2.90, 1 Np 3.12
I 0.1749 0.5827 0.3933  1 Ag 2.84, 1 Np 3.12
I 0.2607 0.1258 0.4438  1 Ag 2.90, 1 Np 3.12
I 0.4157 0.5843 0.7500  2 Np 3.13
I 0.4173 0.8251 0.1067  1 Ag 2.84, 1 Np 3.12
I 0.5827 0.1749 0.8933  1 Ag 2.84, 1 Np 3.12
I 0.5843 0.4157 0.2500  2 Np 3.13
I 0.7393 0.8742 0.5562  1 Ag 2.90, 1 Np 3.12
I 0.8251 0.4173 0.6067  1 Ag 2.84, 1 Np 3.12
I 0.8742 0.7393 0.0562  1 Ag 2.90, 1 Np 3.12

Calculated values
Energy relative to the elements, uncorrected in meV per atom: -856
SG: C2/c (15)
Energy in eV/cell: -62.71

***

No. 4
An optimized crystal structure of CuSb2P, computed with PBE.

Lattice parameters (Å, degrees): 7.0521 3.6309 15.9036 90.00 90.00 90.00
Last column: nearest neighbours and their distance in Å.
Atoms (fractional coordinates):
Cu 0.1497 0.2500 0.1706  4 Sb 2.55-2.58
Cu 0.3503 0.7500 0.6706  4 Sb 2.55-2.58
Cu 0.6497 0.2500 0.3294  4 Sb 2.55-2.58
Cu 0.8503 0.7500 0.8294  4 Sb 2.55-2.58
Sb 0.1959 0.2500 0.5777  1 P 2.57, 2 Cu 2.58
Sb 0.2104 0.7500 0.8184  2 Cu 2.55, 2 P 2.58
Sb 0.2896 0.2500 0.3184  2 Cu 2.55, 2 P 2.58
Sb 0.3041 0.7500 0.0777  1 P 2.57, 2 Cu 2.58
Sb 0.6959 0.2500 0.9223  1 P 2.57, 2 Cu 2.58
Sb 0.7104 0.7500 0.6816  2 Cu 2.55, 2 P 2.58
Sb 0.7896 0.2500 0.1816  2 Cu 2.55, 2 P 2.58
Sb 0.8041 0.7500 0.4223  1 P 2.57, 2 Cu 2.58
P 0.1684 0.7500 0.4204  3 Sb 2.57-2.58
P 0.3316 0.2500 0.9204  3 Sb 2.57-2.58
P 0.6684 0.7500 0.0796  3 Sb 2.57-2.58
P 0.8316 0.2500 0.5796  3 Sb 2.57-2.58

Calculated values
Energy relative to the elements, uncorrected in meV per atom: 219
SG: Pnma (62)
Energy in eV/cell: -67.50

***

No. 5
An optimized crystal structure of La3AuC, computed with PBE.

Lattice parameters (Å, degrees): 9.4752 9.4752 9.4752 60.00 60.00 60.00
Last column: nearest neighbours and their distance in Å.
Atoms (fractional coordinates):
La 0.0820 0.0820 0.6680  2 C 2.61
La 0.0820 0.6680 0.0820  2 C 2.61
La 0.0820 0.6680 0.6680  2 C 2.61
La 0.3320 0.3320 0.9180  2 C 2.61
La 0.3320 0.9180 0.3320  2 C 2.61
La 0.3320 0.9180 0.9180  2 C 2.61
La 0.6680 0.0820 0.0820  2 C 2.61
La 0.6680 0.0820 0.6680  2 C 2.61
La 0.6680 0.6680 0.0820  2 C 2.61
La 0.9180 0.3320 0.3320  2 C 2.61
La 0.9180 0.3320 0.9180  2 C 2.61
La 0.9180 0.9180 0.3320  2 C 2.61
Au 0.0000 0.5000 0.5000  6 La 3.27
Au 0.5000 0.0000 0.5000  6 La 3.27
Au 0.5000 0.5000 0.0000  6 La 3.27
Au 0.5000 0.5000 0.5000  6 La 3.27
C 0.0000 0.0000 0.0000  6 La 2.61
C 0.0000 0.0000 0.5000  6 La 2.61
C 0.0000 0.5000 0.0000  6 La 2.61
C 0.5000 0.0000 0.0000  6 La 2.61

Calculated values
SG: Fd-3m (227)
Energy in eV/cell: -109.78

***

No. 6
An optimized crystal structure of Ta3FeH4, computed with PBE.

Lattice parameters (Å, degrees): 5.7747 5.2554 5.1790 90.00 90.00 90.00
Last column: nearest neighbours and their distance in Å.
Atoms (fractional coordinates):
Ta 0.0000 0.1637 0.0000  4 H 1.90-1.94
Ta 0.2468 0.3430 0.5058  4 H 1.91-1.96
Ta 0.2532 0.6570 0.0058  4 H 1.91-1.96
Ta 0.5000 0.8363 0.5000  4 H 1.90-1.94
Ta 0.7468 0.6570 0.0058  4 H 1.91-1.96
Ta 0.7532 0.3430 0.5058  4 H 1.91-1.96
Fe 0.0000 0.8402 0.4996  4 H 1.67-1.70
Fe 0.5000 0.1598 0.9996  4 H 1.67-1.70
H 0.0000 0.1295 0.6357  1 Fe 1.68
H 0.0000 0.8380 0.1764  1 Fe 1.67
H 0.2263 0.6854 0.6387  1 Fe 1.70
H 0.2737 0.3146 0.1387  1 Fe 1.70
H 0.5000 0.1620 0.6764  1 Fe 1.67
H 0.5000 0.8705 0.1357  1 Fe 1.68
H 0.7263 0.3146 0.1387  1 Fe 1.70
H 0.7737 0.6854 0.6387  1 Fe 1.70

Calculated values
SG: Pmn2_1 (31)
Energy in eV/cell: -114.53

***

No. 7
An optimized crystal structure of Ho3Ge13Os4, computed with PBE.

Lattice parameters (Å, degrees): 9.0619 9.0619 9.0619 90.00 90.00 90.00
Last column: nearest neighbours and their distance in Å.
Atoms (fractional coordinates):
Ho 0.0000 0.2500 0.5000  12 Ge 3.19-3.25, 4 Os 3.20
Ho 0.0000 0.7500 0.5000  12 Ge 3.19-3.25, 4 Os 3.20
Ho 0.2500 0.5000 0.0000  12 Ge 3.19-3.25, 4 Os 3.20
Ho 0.5000 0.0000 0.2500  12 Ge 3.19-3.25, 4 Os 3.20
Ho 0.5000 0.0000 0.7500  12 Ge 3.19-3.25, 4 Os 3.20
Ho 0.7500 0.5000 0.0000  12 Ge 3.19-3.25, 4 Os 3.20
Ge 0.0000 0.0000 0.0000  12 Ge 3.01
Ge 0.0000 0.2985 0.1451  2 Os 2.50, 1 Ge 2.63
Ge 0.0000 0.2985 0.8549  2 Os 2.50, 1 Ge 2.63
Ge 0.0000 0.7015 0.1451  2 Os 2.50, 1 Ge 2.63
Ge 0.0000 0.7015 0.8549  2 Os 2.50, 1 Ge 2.63
Ge 0.1451 0.0000 0.2985  2 Os 2.50, 1 Ge 2.63
Ge 0.1451 0.0000 0.7015  2 Os 2.50, 1 Ge 2.63
Ge 0.2015 0.5000 0.3549  2 Os 2.50, 1 Ge 2.63
Ge 0.2015 0.5000 0.6451  2 Os 2.50, 1 Ge 2.63
Ge 0.2985 0.1451 0.0000  2 Os 2.50, 1 Ge 2.63
Ge 0.2985 0.8549 0.0000  2 Os 2.50, 1 Ge 2.63
Ge 0.3549 0.2015 0.5000  2 Os 2.50, 1 Ge 2.63
Ge 0.3549 0.7985 0.5000  2 Os 2.50, 1 Ge 2.63
Ge 0.5000 0.3549 0.2015  2 Os 2.50, 1 Ge 2.63
Ge 0.5000 0.3549 0.7985  2 Os 2.50, 1 Ge 2.63
Ge 0.5000 0.5000 0.5000  12 Ge 3.01
Ge 0.5000 0.6451 0.2015  2 Os 2.50, 1 Ge 2.63
Ge 0.5000 0.6451 0.7985  2 Os 2.50, 1 Ge 2.63
Ge 0.6451 0.2015 0.5000  2 Os 2.50, 1 Ge 2.63
Ge 0.6451 0.7985 0.5000  2 Os 2.50, 1 Ge 2.63
Ge 0.7015 0.1451 0.0000  2 Os 2.50, 1 Ge 2.63
Ge 0.7015 0.8549 0.0000  2 Os 2.50, 1 Ge 2.63
Ge 0.7985 0.5000 0.3549  2 Os 2.50, 1 Ge 2.63
Ge 0.7985 0.5000 0.6451  2 Os 2.50, 1 Ge 2.63
Ge 0.8549 0.0000 0.2985  2 Os 2.50, 1 Ge 2.63
Ge 0.8549 0.0000 0.7015  2 Os 2.50, 1 Ge 2.63
Os 0.2500 0.2500 0.2500  6 Ge 2.50
Os 0.2500 0.2500 0.7500  6 Ge 2.50
Os 0.2500 0.7500 0.2500  6 Ge 2.50
Os 0.2500 0.7500 0.7500  6 Ge 2.50
Os 0.7500 0.2500 0.2500  6 Ge 2.50
Os 0.7500 0.2500 0.7500  6 Ge 2.50
Os 0.7500 0.7500 0.2500  6 Ge 2.50
Os 0.7500 0.7500 0.7500  6 Ge 2.50

Calculated values
SG: Pm-3n (223)
Energy in eV/cell: -250.85

***

No. 8
An optimized crystal structure of PrRe2, computed with PBE.

Lattice parameters (Å, degrees): 5.5277 5.5277 5.5277 60.00 60.00 60.00
Last column: nearest neighbours and their distance in Å.
Atoms (fractional coordinates):
Pr 0.1250 0.1250 0.1250  12 Re 3.24, 4 Pr 3.39
Pr 0.8750 0.8750 0.8750  12 Re 3.24, 4 Pr 3.39
Re 0.0000 0.5000 0.5000  6 Re 2.76
Re 0.5000 0.0000 0.5000  6 Re 2.76
Re 0.5000 0.5000 0.0000  6 Re 2.76
Re 0.5000 0.5000 0.5000  6 Re 2.76

Calculated values
SG: Fd-3m (227)
Energy in eV/cell: -58.78